Record 1
{
  "formula": "NdHo2In3",
  "functional": "PBE",
  "state": "relaxed",
  "lattice": [[-2.388, 0.258, -2.897], [0.750, -3.567, -0.936], [-8.598, -3.585, 6.768]],
  "species": ["Ho", "Ho", "In", "In", "In", "Nd"],
  "fractional_positions": [[0.500, 0.500, 0.161], [0.500, 0.500, 0.839], [0.000, 0.000, 0.678], [0.000, 0.000, 0.000], [0.000, 0.000, 0.322], [0.500, 0.500, 0.500]],
  "e_tot_ev_per_atom": -4.16,
  "delta_e_f_ev_per_atom": -0.470
}

---

Record 2
{
  "formula": "Nd4HoIn4",
  "functional": "PBE",
  "state": "relaxed",
  "lattice": [[-4.217, -2.031, 4.202], [-4.914, -3.851, -6.793], [4.766, -7.837, 0.995]],
  "species": ["Nd", "Nd", "Nd", "Nd", "Nd", "Nd", "Nd", "Nd", "In", "In", "In", "In", "In", "In", "In", "In", "Ho", "Ho"],
  "fractional_positions": [[0.131, 0.928, 0.329], [0.369, 0.428, 0.829], [0.131, 0.072, 0.671], [0.869, 0.671, 0.928], [0.869, 0.329, 0.072], [0.631, 0.829, 0.572], [0.369, 0.572, 0.171], [0.631, 0.171, 0.428], [0.118, 0.301, 0.402], [0.382, 0.801, 0.902], [0.382, 0.199, 0.098], [0.618, 0.098, 0.801], [0.882, 0.598, 0.301], [0.882, 0.402, 0.699], [0.118, 0.699, 0.598], [0.618, 0.902, 0.199], [0.500, 0.500, 0.500], [0.000, 0.000, 0.000]],
  "e_tot_ev_per_atom": -4.13,
  "delta_e_f_ev_per_atom": -0.290
}

---

no.,calculated density (g cm⁻³),size of the total moment (μB per cell)
1,8.33,0.0
2,7.45,0.0